1.
## Pu3As3O (GGA-PBE)

Data for a relaxed Pu3As3O crystal.

E   -70.997 eV/f.u.
Polymorph energy (0 for the lowest one)   1.75 kcal/mol of atoms
DOS(E_F)   57.5 states/eV/cell
Magnetization   4.44 μB/f.u.

Cell lengths 7.0371, 7.0371, 7.0456 Å; angles 93.70, 93.70, 112.16 degrees
Positions (direct):
Pu (0.1107, 0.1107, 0.3054)
Pu (0.1332, 0.4558, 0.7731)
Pu (0.4558, 0.1332, 0.7731)
Pu (0.5442, 0.8668, 0.2269)
Pu (0.8668, 0.5442, 0.2269)
Pu (0.8893, 0.8893, 0.6946)
As (0.1684, 0.8316, 0.0000)
As (0.2392, 0.7608, 0.5000)
As (0.4119, 0.4119, 0.1271)
As (0.5881, 0.5881, 0.8729)
As (0.7608, 0.2392, 0.5000)
As (0.8316, 0.1684, 0.0000)
O (0.1802, 0.1802, 0.6402)
O (0.8198, 0.8198, 0.3598)

=====

2.
## PuAsO (GGA-PBE)

Data for a relaxed PuAsO crystal.

E   -29.737 eV/f.u.
Polymorph energy (0 for the lowest one)   1.51 kcal/mol of atoms
DOS(E_F)   9.1 states/eV/cell
Magnetization   4.99 μB/f.u.

Cell lengths 3.9912, 3.8707, 7.2658 Å; angles 90.00, 92.34, 90.00 degrees
Positions (direct):
Pu (0.2440, 0.2500, 0.3370)
Pu (0.7560, 0.7500, 0.6630)
As (0.3145, 0.2500, 0.9322)
As (0.6855, 0.7500, 0.0678)
O (0.2494, 0.7500, 0.5050)
O (0.7506, 0.2500, 0.4950)

=====

3.
## Pu4As3O2 (GGA-PBE)

Data for a relaxed Pu4As3O2 crystal.

E   -94.123 eV/f.u.
DOS(E_F)   14.7 states/eV/cell
Magnetization   11.43 μB/f.u.

Cell lengths 6.1495, 6.1495, 8.0291 Å; angles 113.21, 113.21, 36.18 degrees
Positions (direct):
Pu (0.1135, 0.1135, 0.3899)
Pu (0.2748, 0.2748, 0.9249)
Pu (0.7252, 0.7252, 0.0751)
Pu (0.8865, 0.8865, 0.6101)
As (0.0000, 0.0000, 0.0000)
As (0.4038, 0.4038, 0.3222)
As (0.5962, 0.5962, 0.6778)
O (0.3026, 0.3026, 0.6628)
O (0.6974, 0.6974, 0.3372)

=====

4.
## RbPu2AsO8 (GGA-PBE)

Data for a relaxed RbPu2AsO8 crystal.

E   -97.214 eV/f.u.
DOS(E_F)   2.5 states/eV/cell
Magnetization   4.00 μB/f.u.

Cell lengths 5.1490, 5.1490, 6.9578 Å; angles 90.00, 90.00, 87.00 degrees
Positions (direct):
Rb (0.0000, 0.0000, 0.0000)
Pu (0.5003, 0.5003, 0.2586)
Pu (0.4997, 0.4997, 0.7414)
As (0.0000, 0.0000, 0.5000)
O (0.2265, 0.7738, 0.2934)
O (0.2262, 0.7735, 0.7066)
O (0.3009, 0.3009, 0.5003)
O (0.3426, 0.3426, 0.0010)
O (0.6574, 0.6574, 0.9990)
O (0.6991, 0.6991, 0.4997)
O (0.7738, 0.2265, 0.2934)
O (0.7735, 0.2262, 0.7066)

=====

5.
## Rb2Pu3AsO12 (GGA-PBE)

Data for a relaxed Rb2Pu3AsO12 crystal.

E   -149.133 eV/f.u.
DOS(E_F)   12.9 states/eV/cell
Magnetization   7.00 μB/f.u.

Cell lengths 7.4522, 7.4522, 7.4522 Å; angles 62.95, 62.95, 62.95 degrees
Positions (direct):
Rb (0.1320, 0.1320, 0.1320)
Rb (0.8680, 0.8680, 0.8680)
Pu (0.0000, 0.5000, 0.5000)
Pu (0.5000, 0.0000, 0.5000)
Pu (0.5000, 0.5000, 0.0000)
As (0.5000, 0.5000, 0.5000)
O (0.1775, 0.1775, 0.5586)
O (0.1775, 0.5586, 0.1775)
O (0.2114, 0.5575, 0.5575)
O (0.4414, 0.8225, 0.8225)
O (0.4425, 0.4425, 0.7886)
O (0.4425, 0.7886, 0.4425)
O (0.5575, 0.2114, 0.5575)
O (0.5575, 0.5575, 0.2114)
O (0.5586, 0.1775, 0.1775)
O (0.7886, 0.4425, 0.4425)
O (0.8225, 0.4414, 0.8225)
O (0.8225, 0.8225, 0.4414)

=====

6.
## RbPuAs2O8 (GGA-PBE)

Data for a relaxed RbPuAs2O8 crystal.

E   -84.991 eV/f.u.
DOS(E_F)   7.0 states/eV/cell
Magnetization   3.00 μB/f.u.

Cell lengths 9.5931, 9.5931, 9.5931 Å; angles 34.82, 34.82, 34.82 degrees
Positions (direct):
Rb (0.0000, 0.0000, 0.0000)
Pu (0.5000, 0.5000, 0.5000)
As (0.2380, 0.2380, 0.2380)
As (0.7620, 0.7620, 0.7620)
O (0.1096, 0.6248, 0.6248)
O (0.2996, 0.2996, 0.2996)
O (0.3752, 0.3752, 0.8904)
O (0.3752, 0.8904, 0.3752)
O (0.6248, 0.1096, 0.6248)
O (0.6248, 0.6248, 0.1096)
O (0.7004, 0.7004, 0.7004)
O (0.8904, 0.3752, 0.3752)

=====

7.
## Rb2PuAsO6 (GGA-PBE)

Data for a relaxed Rb2PuAsO6 crystal.

E   -68.832 eV/f.u.
Magnetization   1.02 μB/f.u.

Cell lengths 5.9463, 5.9463, 5.9463 Å; angles 60.00, 60.00, 60.00 degrees
Positions (direct):
Rb (0.2500, 0.2500, 0.2500)
Rb (0.7500, 0.7500, 0.7500)
Pu (0.0000, 0.0000, 0.0000)
As (0.5000, 0.5000, 0.5000)
O (0.2438, 0.2438, 0.7562)
O (0.2438, 0.7562, 0.2438)
O (0.2438, 0.7562, 0.7562)
O (0.7562, 0.2438, 0.2438)
O (0.7562, 0.2438, 0.7562)
O (0.7562, 0.7562, 0.2438)

=====

8.
## PuAsRhO6 (GGA-PBE)

Data for a relaxed PuAsRhO6 crystal.

E   -69.014 eV/f.u.
DOS(E_F)   7.3 states/eV/cell
Magnetization   1.99 μB/f.u.

Cell lengths 5.3931, 5.3931, 8.7443 Å; angles 90.00, 90.00, 120.00 degrees
Positions (direct):
Pu (0.3333, 0.6667, 0.2500)
Pu (0.6667, 0.3333, 0.7500)
As (0.3333, 0.6667, 0.7500)
As (0.6667, 0.3333, 0.2500)
Rh (0.0000, 0.0000, 0.0000)
Rh (0.0000, 0.0000, 0.5000)
O (0.0029, 0.3312, 0.1247)
O (0.0029, 0.6717, 0.3753)
O (0.3283, 0.3312, 0.3753)
O (0.3283, 0.9971, 0.1247)
O (0.3312, 0.0029, 0.6247)
O (0.3312, 0.3283, 0.8753)
O (0.6688, 0.6717, 0.1247)
O (0.6688, 0.9971, 0.3753)
O (0.6717, 0.0029, 0.8753)
O (0.6717, 0.6688, 0.6247)
O (0.9971, 0.3283, 0.6247)
O (0.9971, 0.6688, 0.8753)

=====

9.
## PuAs2RhO8 (GGA-PBE)

Data for a relaxed PuAs2RhO8 crystal.

E   -86.929 eV/f.u.
DOS(E_F)   6.1 states/eV/cell
Magnetization   5.03 μB/f.u.

Cell lengths 5.4534, 5.4534, 6.7950 Å; angles 90.00, 90.00, 120.00 degrees
Positions (direct):
Pu (0.0000, 0.0000, 0.0000)
As (0.3333, 0.6667, 0.2259)
As (0.6667, 0.3333, 0.7741)
Rh (0.0000, 0.0000, 0.5000)
O (0.1559, 0.3117, 0.2893)
O (0.1559, 0.8441, 0.2893)
O (0.3117, 0.1559, 0.7107)
O (0.3333, 0.6667, 0.9771)
O (0.6667, 0.3333, 0.0229)
O (0.6883, 0.8441, 0.2893)
O (0.8441, 0.1559, 0.7107)
O (0.8441, 0.6883, 0.7107)

=====

10.
## PuScAsO2 (GGA-PBE)

Data for a relaxed PuScAsO2 crystal.

E   -46.870 eV/f.u.
DOS(E_F)   14.9 states/eV/cell
Magnetization   4.09 μB/f.u.

Cell lengths 6.0428, 6.0428, 7.2680 Å; angles 90.00, 90.00, 144.03 degrees
Positions (direct):
Pu (0.2231, 0.7769, 0.7500)
Pu (0.7769, 0.2231, 0.2500)
Sc (0.5000, 0.5000, 0.0000)
Sc (0.5000, 0.5000, 0.5000)
As (0.0502, 0.9498, 0.2500)
As (0.9498, 0.0502, 0.7500)
O (0.3249, 0.6751, 0.0689)
O (0.3249, 0.6751, 0.4311)
O (0.6751, 0.3249, 0.5689)
O (0.6751, 0.3249, 0.9311)

=====

11.
## SmPuAsO2 (GGA-PBE)

Data for a relaxed SmPuAsO2 crystal.

E   -45.873 eV/f.u.
DOS(E_F)   9.5 states/eV/cell
Magnetization   4.40 μB/f.u.

Cell lengths 6.8129, 6.8129, 6.8129 Å; angles 147.26, 147.26, 46.98 degrees
Positions (direct):
Sm (0.0000, 0.0000, 0.0000)
Pu (0.6991, 0.6991, 0.0000)
As (0.3462, 0.3462, 0.0000)
O (0.1029, 0.6029, 0.5000)
O (0.6029, 0.1029, 0.5000)

=====

12.
## SrPuAs2O8 (GGA-PBE)

Data for a relaxed SrPuAs2O8 crystal.

E   -89.032 eV/f.u.
DOS(E_F)   1.3 states/eV/cell
Magnetization   4.00 μB/f.u.

Cell lengths 5.6129, 5.6129, 7.3835 Å; angles 90.00, 90.00, 120.00 degrees
Positions (direct):
Sr (0.0000, 0.0000, 0.0000)
Pu (0.0000, 0.0000, 0.5000)
As (0.3333, 0.6667, 0.7810)
As (0.6667, 0.3333, 0.2190)
O (0.1267, 0.3356, 0.6996)
O (0.2089, 0.8733, 0.6996)
O (0.3333, 0.6667, 0.0082)
O (0.3356, 0.2089, 0.3004)
O (0.6644, 0.7911, 0.6996)
O (0.6667, 0.3333, 0.9918)
O (0.7911, 0.1267, 0.3004)
O (0.8733, 0.6644, 0.3004)